# MnFeBP2, relaxed, DFT GGA-PBE
# ΔH_f (0 K) ... -127.4 kJ/mol of formula units
# E ... -7.290 eV per atom
# Total magnetic moment ... 0.0 μB/cell
# Space group ... Pmm2 (25)
# DOS at the Fermi energy ... 1.3 states/eV/cell
data_MnFeBP2
_chemical_formula_sum 'Mn1 Fe1 B1 P2'
_space_group_name_H-M_alt 'P 1'
_space_group_IT_number 1
_cell_length_a 2.747
_cell_length_b 2.763
_cell_length_c 6.894
_cell_angle_alpha 90.00
_cell_angle_beta 90.00
_cell_angle_gamma 90.00
loop_
_space_group_symop_operation_xyz
'x,y,z'
loop_
_atom_site_label
_atom_site_type_symbol
_atom_site_fract_x
_atom_site_fract_y
_atom_site_fract_z
Fe1 Fe 0.500 0.500 0.682
B1 B 0.000 0.000 0.550
P1 P 0.500 0.500 0.366
P2 P 0.500 0.000 0.943
Mn1 Mn 0.000 0.000 0.208